Entry from Alexandria: an optimized crystal structure of SmCO4 (PBE-GGA).

extended XYZ file:
```
24
Lattice="7.348 0.000 0.000 0.000 4.935 0.000 0.000 0.000 8.198" Properties=species:S:1:pos:R:3 pbc="T T T"
Sm 1.060 1.234 1.396
Sm 2.614 3.701 5.495
Sm 4.734 1.234 2.703
Sm 6.288 3.701 6.802
C 1.437 1.234 6.690
C 2.237 3.701 2.591
C 5.111 1.234 5.607
C 5.911 3.701 1.508
O 0.309 3.701 4.897
O 1.083 0.111 7.238
O 1.083 2.356 7.238
O 1.474 3.701 1.562
O 2.200 1.234 5.661
O 2.591 2.579 3.139
O 2.591 4.823 3.139
O 3.365 1.234 0.798
O 3.983 3.701 7.401
O 4.757 0.111 5.059
O 4.757 2.356 5.059
O 5.148 3.701 2.537
O 5.874 1.234 6.636
O 6.265 2.579 0.960
O 6.265 4.823 0.960
O 7.039 1.234 3.301
```

- Uncorrected energy: -7.613 eV/atom
- Fermi-level density of states: 6.882 states/eV/cell
- E above lowest polymorph: 0.00 eV per formula unit

---

Entry from Alexandria: an optimized crystal structure of Bi2SO (PBE-GGA).

extended XYZ file:
```
8
Lattice="-2.642 2.642 7.375 2.642 -2.642 7.375 2.642 2.642 -7.375" Properties=species:S:1:pos:R:3 pbc="T T T"
Bi 3.962 0.879 -1.844
Bi 0.879 1.321 1.844
Bi -1.321 1.762 5.531
Bi 1.762 1.321 9.219
S 2.642 0.000 3.688
S 0.000 0.000 7.375
O 0.000 0.000 0.000
O 0.000 2.642 3.688
```

- Uncorrected energy: -4.521 eV/atom
- Fermi-level density of states: 3.252 states/eV/cell
- E above lowest polymorph: 0.00 eV per formula unit

---

Entry from Alexandria: an optimized crystal structure of Pr9CdPb2 (PBE-GGA).

extended XYZ file:
```
12
Lattice="5.042 0.000 0.000 0.000 5.042 0.000 0.000 0.000 15.035" Properties=species:S:1:pos:R:3 pbc="T T T"
Pr 0.000 0.000 0.000
Pr 0.000 0.000 4.982
Pr 0.000 0.000 10.053
Pr 0.000 2.521 2.501
Pr 0.000 2.521 7.517
Pr 0.000 2.521 12.534
Pr 2.521 0.000 2.501
Pr 2.521 0.000 7.517
Pr 2.521 0.000 12.534
Cd 2.521 2.521 0.000
Pb 2.521 2.521 4.998
Pb 2.521 2.521 10.036
```

- Uncorrected energy: -4.547 eV/atom
- Fermi-level density of states: 18.384 states/eV/cell
- Formation energy from the elements: -0.27 eV per atom

---

Entry from Alexandria: an optimized crystal structure of RbNaMg2Ag (PBE-GGA).

extended XYZ file:
```
5
Lattice="5.393 0.000 0.000 0.000 5.393 0.000 0.000 0.000 5.902" Properties=species:S:1:pos:R:3 pbc="T T T"
Rb 0.000 0.000 0.000
Na 2.696 2.696 0.000
Mg 0.000 2.696 2.951
Mg 2.696 0.000 2.951
Ag 2.696 2.696 2.951
```

- Uncorrected energy: -1.596 eV/atom
- Fermi-level density of states: 1.964 states/eV/cell
- Formation energy from the elements: 0.07 eV per atom

---

Entry from Alexandria: an optimized crystal structure of BrO3F (PBE-GGA).

extended XYZ file:
```
5
Lattice="3.909 0.000 0.000 0.000 3.909 0.000 0.000 0.000 3.909" Properties=species:S:1:pos:R:3 pbc="T T T"
Br 0.000 0.000 0.000
O 0.000 0.000 1.954
O 0.000 1.954 0.000
O 1.954 0.000 0.000
F 1.954 1.954 1.954
```

- Uncorrected energy: -2.690 eV/atom
- Fermi-level density of states: 5.552 states/eV/cell

---

Entry from Alexandria: an optimized crystal structure of Pr8SmTm4 (PBE-GGA).

extended XYZ file:
```
13
Lattice="3.658 2.112 9.688 -3.658 2.112 9.688 0.000 -4.223 9.688" Properties=species:S:1:pos:R:3 pbc="T T T"
Pr -1.994 -1.151 16.571
Pr 0.000 0.000 6.206
Pr 0.000 -2.302 12.494
Pr -1.994 1.151 12.494
Pr 1.994 -1.151 16.571
Pr 0.000 2.302 16.571
Pr 0.000 0.000 22.860
Pr 1.994 1.151 12.494
Sm 0.000 0.000 14.533
Tm 0.000 0.000 0.000
Tm -1.829 -1.056 9.688
Tm -1.829 1.056 19.377
Tm 0.000 2.112 9.688
```

- Uncorrected energy: -4.496 eV/atom
- Fermi-level density of states: 13.918 states/eV/cell
- Formation energy from the elements: 0.18 eV per atom

---

Entry from Alexandria: an optimized crystal structure of NbVCrRh (PBE-GGA).

extended XYZ file:
```
4
Lattice="0.000 3.071 3.071 3.071 0.000 3.071 3.071 3.071 0.000" Properties=species:S:1:pos:R:3 pbc="T T T"
Nb 0.000 0.000 0.000
V 3.071 3.071 3.071
Cr 4.606 4.606 4.606
Rh 1.535 1.535 1.535
```

- Uncorrected energy: -9.142 eV/atom
- Fermi-level density of states: 4.742 states/eV/cell
- Formation energy from the elements: -0.10 eV per atom

---

Entry from Alexandria: an optimized crystal structure of RbBe3As3 (PBE-GGA).

extended XYZ file:
```
14
Lattice="3.142 1.814 8.780 -3.142 1.814 8.780 0.000 -3.628 8.780" Properties=species:S:1:pos:R:3 pbc="T T T"
Rb 0.000 0.000 4.385
Rb 0.000 0.000 21.955
Be -1.055 -1.823 9.367
Be -2.107 0.002 16.973
Be -1.051 1.826 9.367
Be 1.051 -1.826 16.973
Be 2.107 -0.002 9.367
Be 1.055 1.823 16.973
As -2.068 -0.002 10.406
As -1.032 -1.792 15.934
As 1.035 -1.790 10.406
As -1.035 1.790 15.934
As 1.032 1.792 10.406
As 2.068 0.002 15.934
```

- Uncorrected energy: -3.931 eV/atom
- Fermi-level density of states: 1.217 states/eV/cell
- E above lowest polymorph: 0.00 eV per formula unit
- Formation energy from the elements: -0.20 eV per atom

---

Entry from Alexandria: an optimized crystal structure of Ti2InTc2 (PBE-GGA).

extended XYZ file:
```
5
Lattice="-1.831 1.831 6.841 1.831 -1.831 6.841 1.831 1.831 -6.841" Properties=species:S:1:pos:R:3 pbc="T T T"
Ti 0.000 0.000 1.457
Ti 0.000 0.000 12.224
In 0.000 0.000 6.841
Tc 1.831 0.000 3.420
Tc 0.000 1.831 3.420
```

- Uncorrected energy: -7.580 eV/atom
- Fermi-level density of states: 7.050 states/eV/cell
- E above lowest polymorph: 1.70 eV per formula unit
- Formation energy from the elements: 0.27 eV per atom

---

Entry from Alexandria: an optimized crystal structure of Ac2Pd4Pb3Au (PBE-GGA).

extended XYZ file:
```
10
Lattice="4.708 0.000 0.000 0.000 4.708 0.000 0.000 0.000 11.191" Properties=species:S:1:pos:R:3 pbc="T T T"
Ac 0.000 2.354 2.706
Ac 2.354 0.000 8.485
Pd 0.000 0.000 5.596
Pd 0.000 2.354 9.679
Pd 2.354 0.000 1.512
Pd 2.354 2.354 5.596
Pb 0.000 0.000 0.000
Pb 0.000 2.354 6.991
Pb 2.354 0.000 4.201
Au 2.354 2.354 0.000
```

- Uncorrected energy: -4.888 eV/atom
- Fermi-level density of states: 5.437 states/eV/cell
- Formation energy from the elements: -0.55 eV per atom

---

Entry from Alexandria: an optimized crystal structure of ScNiMo4 (PBE-GGA).

extended XYZ file:
```
6
Lattice="0.000 3.714 3.714 3.714 0.000 3.714 3.714 3.714 0.000" Properties=species:S:1:pos:R:3 pbc="T T T"
Sc 0.000 0.000 0.000
Ni 1.857 1.857 1.857
Mo 4.647 2.782 2.782
Mo 2.782 4.647 2.782
Mo 2.782 2.782 4.647
Mo 4.647 4.647 4.647
```

- Uncorrected energy: -8.917 eV/atom
- Fermi-level density of states: 7.613 states/eV/cell
- Formation energy from the elements: 0.32 eV per atom

---

Entry from Alexandria: an optimized crystal structure of Ba3Sb (PBE-GGA).

extended XYZ file:
```
8
Lattice="8.577 0.000 0.000 0.000 4.687 0.000 -3.298 0.000 11.044" Properties=species:S:1:pos:R:3 pbc="T T T"
Ba -0.772 1.172 3.557
Ba 2.315 3.515 0.464
Ba 1.411 3.515 7.123
Ba 3.867 1.172 3.921
Ba 2.964 1.172 10.580
Ba 6.051 3.515 7.487
Sb -0.307 1.172 9.039
Sb 5.585 3.515 2.005
```

- Uncorrected energy: -3.042 eV/atom
- Fermi-level density of states: 8.461 states/eV/cell
- E above lowest polymorph: 0.14 eV per formula unit

---

Entry from Alexandria: an optimized crystal structure of Tm3Cd2 (PBE-GGA).

extended XYZ file:
```
10
Lattice="3.596 0.000 0.000 0.000 3.596 0.000 0.000 0.000 20.438" Properties=species:S:1:pos:R:3 pbc="T T T"
Tm 0.000 0.000 0.000
Tm 0.000 0.000 3.837
Tm 0.000 0.000 7.820
Tm 0.000 0.000 12.618
Tm 0.000 0.000 16.601
Tm 1.798 1.798 10.219
Cd 1.798 1.798 1.930
Cd 1.798 1.798 5.808
Cd 1.798 1.798 14.630
Cd 1.798 1.798 18.508
```

- Uncorrected energy: -3.283 eV/atom
- Fermi-level density of states: 10.920 states/eV/cell
- E above lowest polymorph: 0.00 eV per formula unit
- Formation energy from the elements: -0.23 eV per atom

---

Entry from Alexandria: an optimized crystal structure of SeBr4Cl (PBE-GGA).

extended XYZ file:
```
6
Lattice="0.000 4.353 4.353 4.353 0.000 4.353 4.353 4.353 0.000" Properties=species:S:1:pos:R:3 pbc="T T T"
Se 0.000 0.000 0.000
Br 5.439 3.266 3.266
Br 3.266 5.439 3.266
Br 3.266 3.266 5.439
Br 5.439 5.439 5.439
Cl 2.176 2.176 2.176
```

- Uncorrected energy: -1.193 eV/atom
- Fermi-level density of states: 7.441 states/eV/cell

---

Entry from Alexandria: an optimized crystal structure of DyZnCuSn (PBE-GGA).

extended XYZ file:
```
4
Lattice="0.000 3.397 3.397 3.397 0.000 3.397 3.397 3.397 0.000" Properties=species:S:1:pos:R:3 pbc="T T T"
Dy 0.000 0.000 0.000
Zn 1.699 1.699 1.699
Cu 5.096 5.096 5.096
Sn 3.397 3.397 3.397
```

- Uncorrected energy: -3.779 eV/atom
- Fermi-level density of states: 1.767 states/eV/cell
- Formation energy from the elements: -0.28 eV per atom

---

Entry from Alexandria: an optimized crystal structure of HoCd3Au (PBE-GGA).

extended XYZ file:
```
20
Lattice="9.468 0.000 0.000 0.000 3.934 0.000 0.000 0.000 12.548" Properties=species:S:1:pos:R:3 pbc="T T T"
Ho 1.678 0.984 0.068
Ho 3.057 2.951 6.342
Ho 6.412 0.984 6.206
Ho 7.791 2.951 12.480
Cd 0.600 0.984 5.138
Cd 0.649 2.951 2.548
Cd 1.584 2.951 10.033
Cd 3.151 0.984 3.759
Cd 4.085 0.984 8.822
Cd 4.134 2.951 11.412
Cd 5.334 0.984 1.136
Cd 5.383 2.951 3.726
Cd 6.318 2.951 8.789
Cd 7.885 0.984 2.515
Cd 8.820 0.984 10.000
Cd 8.868 2.951 7.410
Au 1.452 0.984 7.878
Au 3.282 2.951 1.604
Au 6.187 0.984 10.944
Au 8.016 2.951 4.670
```

- Uncorrected energy: -2.431 eV/atom
- Fermi-level density of states: 9.836 states/eV/cell
- Formation energy from the elements: -0.31 eV per atom

---

Entry from Alexandria: an optimized crystal structure of CeSiTe2 (PBE-GGA).

extended XYZ file:
```
4
Lattice="1.958 1.131 9.369 -1.958 1.131 9.369 0.000 -2.261 9.369" Properties=species:S:1:pos:R:3 pbc="T T T"
Ce 0.000 0.000 0.000
Si 0.000 0.000 14.054
Te 0.000 0.000 3.075
Te 0.000 0.000 25.033
```

- Uncorrected energy: -4.412 eV/atom
- Fermi-level density of states: 7.764 states/eV/cell

---

Entry from Alexandria: an optimized crystal structure of RbTl3Au3 (PBE-GGA).

extended XYZ file:
```
14
Lattice="8.010 0.000 0.000 0.000 8.010 0.000 0.000 0.000 8.010" Properties=species:S:1:pos:R:3 pbc="T T T"
Rb 0.000 0.000 0.000
Rb 4.005 4.005 4.005
Tl 0.000 2.002 4.005
Tl 0.000 6.007 4.005
Tl 2.002 4.005 0.000
Tl 4.005 0.000 2.002
Tl 4.005 0.000 6.007
Tl 6.007 4.005 0.000
Au 0.000 4.005 2.002
Au 0.000 4.005 6.007
Au 2.002 0.000 4.005
Au 4.005 2.002 0.000
Au 4.005 6.007 0.000
Au 6.007 0.000 4.005
```

- Uncorrected energy: -2.567 eV/atom
- Fermi-level density of states: 9.452 states/eV/cell
- E above lowest polymorph: 0.75 eV per formula unit
- Formation energy from the elements: -0.01 eV per atom

---

Entry from Alexandria: an optimized crystal structure of Ca3Pa5N12 (PBE-GGA).

extended XYZ file:
```
80
Lattice="-7.042 7.042 7.042 7.042 -7.042 7.042 7.042 7.042 -7.042" Properties=species:S:1:pos:R:3 pbc="T T T"
Ca 3.521 1.760 0.000
Ca 7.042 3.521 -1.760
Ca 1.760 0.000 3.521
Ca 8.802 0.000 3.521
Ca 0.000 3.521 1.760
Ca 3.521 -1.760 7.042
Ca 3.521 8.802 0.000
Ca 7.042 3.521 5.281
Ca -1.760 7.042 3.521
Ca 5.281 7.042 3.521
Ca 0.000 3.521 8.802
Ca 3.521 5.281 7.042
Pa 0.000 0.000 0.000
Pa 3.521 3.521 -3.521
Pa 3.521 -3.521 3.521
Pa 7.042 0.000 0.000
Pa 10.563 1.760 0.000
Pa 7.042 -3.521 5.281
Pa 5.281 7.042 -3.521
Pa 5.281 0.000 3.521
Pa 3.521 5.281 0.000
Pa 7.042 3.521 1.760
Pa -3.521 3.521 3.521
Pa 0.000 7.042 0.000
Pa 0.000 0.000 7.042
Pa 3.521 3.521 3.521
Pa 0.000 3.521 5.281
Pa 3.521 1.760 7.042
Pa 1.760 7.042 3.521
Pa 1.760 0.000 10.563
Pa 0.000 10.563 1.760
Pa -3.521 5.281 7.042
N 2.163 -0.275 0.538
N 8.400 4.059 -3.796
N 9.205 0.275 0.538
N 8.400 -2.983 3.796
N 6.767 -0.538 2.163
N 10.838 -1.358 2.983
N 0.538 2.163 -0.275
N 10.025 3.246 -1.358
N 4.059 3.796 -1.358
N 6.504 2.163 0.275
N -0.275 0.538 2.163
N 3.796 -1.358 4.059
N 6.767 6.504 -2.163
N 3.796 1.358 2.983
N 4.059 -3.796 8.400
N 6.504 -2.163 6.767
N 2.983 3.796 1.358
N 7.580 4.879 0.275
N 3.796 8.400 -2.983
N 6.767 0.538 4.879
N 2.163 6.767 -0.538
N 8.400 2.983 3.246
N 1.358 2.983 3.796
N 2.163 0.275 6.504
N 4.879 6.767 0.538
N 5.684 4.059 3.246
N -1.358 4.059 3.796
N 4.879 0.275 7.580
N 0.275 6.504 2.163
N 3.246 -1.358 10.025
N -0.538 2.163 6.767
N 4.059 3.246 5.684
N 0.538 9.205 0.275
N 2.983 10.838 -1.358
N 3.246 5.684 4.059
N 0.275 0.538 9.205
N 3.246 8.400 2.983
N 7.317 6.504 4.879
N 0.538 4.879 6.767
N 2.983 3.246 8.400
N -2.983 3.796 8.400
N 6.504 4.879 7.317
N -3.796 8.400 4.059
N 0.275 7.580 4.879
N -1.358 10.025 3.246
N -2.163 6.767 6.504
N -1.358 2.983 10.838
N 4.879 7.317 6.504
```

- Uncorrected energy: -8.629 eV/atom
- Fermi-level density of states: 53.260 states/eV/cell